Density functional theory data (PBE with a Hubbard U) for crystalline Na2VGeO4 at its relaxed geometry.

Output
SG   No. 82
Density   3470 kg/m³
E_tot   -5.90 eV per atom

Lattice parameters (Å, degrees): 5.349 5.349 5.349 94.11 117.66 117.66
Positions (direct):
O (0.960, 0.540, 0.154)
O (0.614, 0.420, 0.460)
O (0.386, 0.846, 0.806)
O (0.040, 0.194, 0.580)
V (0.500, 0.250, 0.750)
Na (0.000, 0.000, 0.000)
Na (0.500, 0.750, 0.250)
Ge (0.000, 0.500, 0.500)